## one
Compound: CsZn3Te
Source: the Alexandria database
Functional: GGA-PBE
Structure: optimized geometry

Cell and atoms, written as CIF:
```
data_CsZn3Te
_symmetry_space_group_name_H-M 'P 1'
_symmetry_Int_Tables_number 1
_symmetry_space_group_name_Hall 'P 1'
_cell_length_a 6.8437
_cell_length_b 6.8437
_cell_length_c 6.8437
_cell_angle_alpha 90.00
_cell_angle_beta 90.00
_cell_angle_gamma 90.00
loop_
_atom_site_label
_atom_site_fract_x
_atom_site_fract_y
_atom_site_fract_z
_atom_site_occupancy
Cs1 0.0000 0.0000 0.0000 1
Zn1 0.0000 0.0000 0.5000 1
Zn2 0.0000 0.5000 0.0000 1
Zn3 0.5000 0.0000 0.0000 1
Te1 0.5000 0.5000 0.5000 1
```



## two
Compound: CsZn3Te
Source: the Alexandria database
Functional: GGA-PBE
Structure: optimized geometry

Cell and atoms, written as CIF:
```
data_CsZn3Te
_symmetry_space_group_name_H-M 'P 1'
_symmetry_Int_Tables_number 1
_symmetry_space_group_name_Hall 'P 1'
_cell_length_a 5.7750
_cell_length_b 5.7750
_cell_length_c 5.7750
_cell_angle_alpha 90.00
_cell_angle_beta 90.00
_cell_angle_gamma 90.00
loop_
_atom_site_label
_atom_site_fract_x
_atom_site_fract_y
_atom_site_fract_z
_atom_site_occupancy
Cs1 0.0000 0.0000 0.0000 1
Zn1 0.0000 0.5000 0.5000 1
Zn2 0.5000 0.0000 0.5000 1
Zn3 0.5000 0.5000 0.0000 1
Te1 0.5000 0.5000 0.5000 1
```



Stability check: which of them is least stable? one.



## one
Compound: Cs2ZnTe
Source: the Alexandria database
Functional: GGA-PBE
Structure: optimized geometry

Cell and atoms, written as CIF:
```
data_Cs2ZnTe
_symmetry_space_group_name_H-M 'P 1'
_symmetry_Int_Tables_number 1
_symmetry_space_group_name_Hall 'P 1'
_cell_length_a 12.1496
_cell_length_b 12.1496
_cell_length_c 12.1496
_cell_angle_alpha 146.61
_cell_angle_beta 146.61
_cell_angle_gamma 47.94
loop_
_atom_site_label
_atom_site_fract_x
_atom_site_fract_y
_atom_site_fract_z
_atom_site_occupancy
Cs1 0.1044 0.6250 0.9794 1
Cs2 0.3750 0.3544 0.4794 1
Cs3 0.6456 0.1250 0.0206 1
Cs4 0.8750 0.8956 0.5206 1
Zn1 0.2500 0.7500 0.5000 1
Zn2 0.5000 0.5000 0.0000 1
Te1 0.0000 0.0000 0.0000 1
Te2 0.7500 0.2500 0.5000 1
```



## two
Compound: Cs2ZnTe
Source: the Alexandria database
Functional: GGA-PBE
Structure: optimized geometry

Cell and atoms, written as CIF:
```
data_Cs2ZnTe
_symmetry_space_group_name_H-M 'P 1'
_symmetry_Int_Tables_number 1
_symmetry_space_group_name_Hall 'P 1'
_cell_length_a 6.3981
_cell_length_b 6.3981
_cell_length_c 6.3981
_cell_angle_alpha 60.00
_cell_angle_beta 60.00
_cell_angle_gamma 60.00
loop_
_atom_site_label
_atom_site_fract_x
_atom_site_fract_y
_atom_site_fract_z
_atom_site_occupancy
Cs1 0.2500 0.2500 0.2500 1
Cs2 0.7500 0.7500 0.7500 1
Zn1 0.0000 0.0000 0.0000 1
Te1 0.5000 0.5000 0.5000 1
```



Stability check: which of them is least stable? one.



## one
Compound: Cs2Zn2Te3
Source: the Alexandria database
Functional: GGA-PBE
Structure: optimized geometry

Cell and atoms, written as CIF:
```
data_Cs2Zn2Te3
_symmetry_space_group_name_H-M 'P 1'
_symmetry_Int_Tables_number 1
_symmetry_space_group_name_Hall 'P 1'
_cell_length_a 7.9896
_cell_length_b 7.9896
_cell_length_c 9.5788
_cell_angle_alpha 123.04
_cell_angle_beta 123.04
_cell_angle_gamma 33.22
loop_
_atom_site_label
_atom_site_fract_x
_atom_site_fract_y
_atom_site_fract_z
_atom_site_occupancy
Cs1 0.0621 0.0621 0.3449 1
Cs2 0.9379 0.9379 0.6551 1
Zn1 0.3081 0.3081 0.9383 1
Zn2 0.6919 0.6919 0.0617 1
Te1 0.3062 0.3062 0.2257 1
Te2 0.5000 0.5000 0.0000 1
Te3 0.6938 0.6938 0.7743 1
```



## two
Compound: Cs2Zn2Te3
Source: the Alexandria database
Functional: GGA-PBE
Structure: optimized geometry

Cell and atoms, written as CIF:
```
data_Cs2Zn2Te3
_symmetry_space_group_name_H-M 'P 1'
_symmetry_Int_Tables_number 1
_symmetry_space_group_name_Hall 'P 1'
_cell_length_a 12.3879
_cell_length_b 12.3879
_cell_length_c 7.7858
_cell_angle_alpha 107.29
_cell_angle_beta 107.29
_cell_angle_gamma 81.57
loop_
_atom_site_label
_atom_site_fract_x
_atom_site_fract_y
_atom_site_fract_z
_atom_site_occupancy
Cs1 0.0680 0.9320 0.7500 1
Cs2 0.2033 0.7967 0.2500 1
Cs3 0.3101 0.4844 0.4337 1
Cs4 0.4844 0.3101 0.9337 1
Cs5 0.5156 0.6899 0.0663 1
Cs6 0.6899 0.5156 0.5663 1
Cs7 0.7967 0.2033 0.7500 1
Cs8 0.9320 0.0680 0.2500 1
Zn1 0.0232 0.5790 0.7338 1
Zn2 0.1530 0.3082 0.8044 1
Zn3 0.3082 0.1530 0.3044 1
Zn4 0.4210 0.9768 0.7662 1
Zn5 0.5790 0.0232 0.2338 1
Zn6 0.6918 0.8470 0.6956 1
Zn7 0.8470 0.6918 0.1956 1
Zn8 0.9768 0.4210 0.2662 1
Te1 0.0412 0.6407 0.4338 1
Te2 0.1110 0.2516 0.0938 1
Te3 0.2357 0.5160 0.9114 1
Te4 0.2516 0.1110 0.5938 1
Te5 0.3593 0.9588 0.0662 1
Te6 0.4840 0.7643 0.5886 1
Te7 0.5160 0.2357 0.4114 1
Te8 0.6407 0.0412 0.9338 1
Te9 0.7484 0.8890 0.4062 1
Te10 0.7643 0.4840 0.0886 1
Te11 0.8890 0.7484 0.9062 1
Te12 0.9588 0.3593 0.5662 1
```



Stability check: which of them is least stable? one.



## one
Compound: CsZr2Te4
Source: the Alexandria database
Functional: GGA-PBE
Structure: optimized geometry

Cell and atoms, written as CIF:
```
data_CsZr2Te4
_symmetry_space_group_name_H-M 'P 1'
_symmetry_Int_Tables_number 1
_symmetry_space_group_name_Hall 'P 1'
_cell_length_a 7.6150
_cell_length_b 7.6150
_cell_length_c 15.0396
_cell_angle_alpha 90.00
_cell_angle_beta 90.00
_cell_angle_gamma 147.21
loop_
_atom_site_label
_atom_site_fract_x
_atom_site_fract_y
_atom_site_fract_z
_atom_site_occupancy
Cs1 0.1078 0.8922 0.7500 1
Cs2 0.8922 0.1078 0.2500 1
Zr1 0.3732 0.6268 0.5640 1
Zr2 0.3732 0.6268 0.9360 1
Zr3 0.6268 0.3732 0.0640 1
Zr4 0.6268 0.3732 0.4360 1
Te1 0.0000 0.0000 0.0000 1
Te2 0.0000 0.0000 0.5000 1
Te3 0.2617 0.7383 0.1002 1
Te4 0.2617 0.7383 0.3998 1
Te5 0.4048 0.5952 0.7500 1
Te6 0.5952 0.4048 0.2500 1
Te7 0.7383 0.2617 0.6002 1
Te8 0.7383 0.2617 0.8998 1
```



## two
Compound: CsZr2Te4
Source: the Alexandria database
Functional: GGA-PBE
Structure: optimized geometry

Cell and atoms, written as CIF:
```
data_CsZr2Te4
_symmetry_space_group_name_H-M 'P 1'
_symmetry_Int_Tables_number 1
_symmetry_space_group_name_Hall 'P 1'
_cell_length_a 10.3368
_cell_length_b 10.3368
_cell_length_c 6.9448
_cell_angle_alpha 108.63
_cell_angle_beta 108.63
_cell_angle_gamma 22.85
loop_
_atom_site_label
_atom_site_fract_x
_atom_site_fract_y
_atom_site_fract_z
_atom_site_occupancy
Cs1 0.0000 0.0000 0.0000 1
Zr1 0.2497 0.2497 0.2558 1
Zr2 0.7503 0.7503 0.7442 1
Te1 0.1561 0.1561 0.4995 1
Te2 0.3416 0.3416 0.0038 1
Te3 0.6584 0.6584 0.9962 1
Te4 0.8439 0.8439 0.5005 1
```



Stability check: which of them is least stable? one.